VASP calculation (PBE-GGA) on a relaxed structure of KRb2TlAs.

Output
offset from the most stable computed form: 0.0 meV per atom
DOS at the Fermi energy: 0.989 states/eV per atom
space group: P4/mmm
formation enthalpy at 0 K: -58 meV/atom

a b c (Å): 6.955 6.955 5.685
angles (deg): 90.00 90.00 90.00
Element x y z (fractional)
K1 0.000 0.000 0.000
Rb1 0.000 0.500 0.500
Rb2 0.500 0.000 0.500
Tl1 0.500 0.500 0.000
As1 0.500 0.500 0.500